{"formula": "LiLa3Fe", "functional": "meta-GGA SCAN", "state": "PBEsol geometry", "lattice": [[-4.5402, 1.9854, 1.7979], [-1.8970, -4.8815, 0.6003], [1.8910, -0.1300, 4.9188]], "species": ["Li", "Fe", "La", "La", "La"], "fractional_positions": [[0.5000, 0.5000, 0.5000], [0.0000, 0.0000, 0.0000], [0.0000, 0.5000, 0.0000], [0.0000, 0.0000, 0.5000], [0.5000, 0.0000, 0.0000]], "formation_energy_ev_per_atom": 0.118}

=====

{"formula": "Li2LaFe", "functional": "meta-GGA SCAN", "state": "PBEsol geometry", "lattice": [[-0.2259, 0.4623, 3.0252], [-2.8954, -1.0145, -0.0611], [2.5706, -7.4163, 1.3252]], "species": ["Fe", "La", "Li", "Li"], "fractional_positions": [[0.5000, 0.5000, 0.0000], [0.5000, 0.5000, 0.5000], [0.0000, 0.0000, 0.8173], [0.0000, 0.0000, 0.1827]], "e_above_lowest_polymorph_ev_per_atom": 0.147, "formation_energy_ev_per_atom": 0.416}

=====

{"formula": "Li2LaFe", "functional": "meta-GGA SCAN", "state": "PBEsol geometry", "lattice": [[-1.6504, -2.3602, 1.5601], [3.7542, -2.1836, 0.6680], [-0.3935, 4.7756, 3.3700]], "species": ["Fe", "La", "Li", "Li"], "fractional_positions": [[0.0000, 0.5000, 0.0000], [0.5000, 0.0000, 0.0000], [0.7183, 0.7183, 0.4365], [0.2817, 0.2817, 0.5635]], "e_above_lowest_polymorph_ev_per_atom": 0.000, "formation_energy_ev_per_atom": 0.269}

=====

We obtain DOS at the Fermi energy values of 4.6; 2.8; 2.6 states/eV/cell for the records listed above, in that order.
We obtain raw total energy values of -29.849; -16.087; -16.234 eV/atom for the records listed above, in that order.
We obtain M_tot values of 0.000; 0.761; 0.331 μB/atom for the records listed above, in that order.